DFT (PBE) results for a relaxed CsTePd crystal.

Values from the calculation:
Total energy, eV per atom: -3.77
Space group: No. 2
ρ, g cm⁻³: 5.50

```
CsTePd
1.0
4.6906 0.0000 0.0000
-0.2998 6.9727 0.0000
-2.0937 -2.1588 6.7790
Cs Te Pd
2 2 2
direct
0.0803 0.7986 0.2093
0.9197 0.2014 0.7907
0.3711 0.7222 0.7413
0.6289 0.2778 0.2587
0.2066 0.3971 0.4162
0.7934 0.6029 0.5838
```

***

DFT (PBE) results for a relaxed CsTePd crystal.

Values from the calculation:
Total energy, eV per atom: -2.45
Space group: No. 216
ρ, g cm⁻³: 4.72

```
CsTePd
1.0
2.4738 -4.4176 2.5590
3.5214 0.8575 4.3644
-1.5704 -1.4834 5.2456
Cs Te Pd
1 1 1
direct
0.0000 0.0000 0.0000
0.7500 0.7500 0.7500
0.2500 0.2500 0.2500
```

***

DFT (PBE) results for a relaxed Cs2Te3Pd crystal.

Values from the calculation:
Total energy, eV per atom: -3.32
Space group: No. 63
ρ, g cm⁻³: 5.00

```
Cs2Te3Pd
1.0
7.3158 -5.1678 0.0000
7.3158 5.1678 0.0000
0.0000 0.0000 6.6330
Cs Te Pd
4 6 2
direct
0.1923 0.5179 0.2500
0.4821 0.8077 0.2500
0.8077 0.4821 0.7500
0.5179 0.1923 0.7500
0.8668 0.8668 0.5000
0.6591 0.3409 0.2500
0.8668 0.8668 0.0000
0.3409 0.6591 0.7500
0.1332 0.1332 0.0000
0.1332 0.1332 0.5000
0.9276 0.0724 0.2500
0.0724 0.9276 0.7500
```

***

DFT (PBE) results for a relaxed CsTePd crystal.

Values from the calculation:
Total energy, eV per atom: -3.10
Space group: No. 216
ρ, g cm⁻³: 5.96

```
CsTePd
1.0
-2.6935 -4.2097 1.6062
-4.1810 0.5920 3.1186
-4.8202 -0.9034 -1.8726
Pd Te Cs
1 1 1
direct
0.0000 0.0000 0.0000
0.7500 0.7500 0.7500
0.2500 0.2500 0.2500
```